(1)
Material: TlZnInCl6
Method: DFT, GGA-PBE
State: optimized geometry

Unit cell a=6.5773 b=6.5773 c=7.1524 alpha=90.00 beta=90.00 gamma=59.99
With the nearest neighbours (Å) after each atom.
Fractional coordinates of all 9 atoms:
Tl 0.0000 0.0000 0.0000  6 Cl 3.25
Zn 0.6667 0.6667 0.5000  6 Cl 2.50
In 0.3333 0.3334 0.5000  6 Cl 2.56
Cl 0.9930 0.3759 0.2983  1 Zn 2.50, 1 In 2.56
Cl 0.3758 0.9930 0.7017  1 Zn 2.50, 1 In 2.56
Cl 0.6311 0.3759 0.7017  1 Zn 2.50, 1 In 2.56
Cl 0.9930 0.6311 0.7017  1 Zn 2.50, 1 In 2.56
Cl 0.3759 0.6311 0.2983  1 Zn 2.50, 1 In 2.56
Cl 0.6311 0.9930 0.2983  1 Zn 2.50, 1 In 2.56

Properties
- Volume: 29.77 A^3/atom
- M_tot: 0.000 μB/f.u.
- SG: P312
- Crystal system: trigonal

---

(2)
Material: TlZn2InCl6
Method: DFT, GGA-PBE
State: optimized geometry

Unit cell a=7.0387 b=9.6448 c=9.6448 alpha=87.13 beta=82.15 gamma=82.15
With the nearest neighbours (Å) after each atom.
Fractional coordinates of all 20 atoms:
Tl 0.2500 0.3140 0.6860  6 Cl 3.18-3.44
Tl 0.7500 0.6860 0.3140  6 Cl 3.18-3.44
Zn 0.2414 0.8029 0.6265  4 Cl 2.25-2.37
Zn 0.2586 0.3735 0.1971  4 Cl 2.25-2.37
Zn 0.7586 0.1971 0.3735  4 Cl 2.25-2.37
Zn 0.7414 0.6265 0.8029  4 Cl 2.25-2.37
In 0.2500 0.8986 0.1014  6 Cl 3.10-3.24
In 0.7500 0.1014 0.8986  6 Cl 3.10-3.24
Cl 0.1832 0.9766 0.7800  1 Zn 2.25
Cl 0.3168 0.2200 0.0234  1 Zn 2.25
Cl 0.8168 0.0234 0.2200  1 Zn 2.25
Cl 0.6832 0.7800 0.9766  1 Zn 2.25
Cl 0.3464 0.8711 0.4063  1 Zn 2.25
Cl 0.1536 0.5937 0.1288  1 Zn 2.25
Cl 0.6536 0.1289 0.5937  1 Zn 2.25
Cl 0.8464 0.4063 0.8712  1 Zn 2.25
Cl 0.9646 0.6916 0.6127  2 Zn 2.36-2.37
Cl 0.5354 0.3873 0.3084  2 Zn 2.36-2.37
Cl 0.0354 0.3084 0.3873  2 Zn 2.36-2.37
Cl 0.4646 0.6127 0.6916  2 Zn 2.36-2.37

Properties
- Volume: 32.11 A^3/atom
- M_tot: 0.000 μB/f.u.
- SG: C2/c
- Crystal system: monoclinic

---

(3)
Material: Tm2In3Cl9
Method: DFT, GGA-PBE
State: optimized geometry

Unit cell a=9.6608 b=9.6608 c=9.6608 alpha=84.18 beta=84.18 gamma=84.18
With the nearest neighbours (Å) after each atom.
Fractional coordinates of all 28 atoms:
Tm 0.1470 0.1470 0.1470  6 Cl 2.52-2.72
Tm 0.6470 0.6470 0.6470  6 Cl 2.52-2.72
Tm 0.8530 0.8530 0.8530  6 Cl 2.52-2.72
Tm 0.3530 0.3530 0.3530  6 Cl 2.52-2.72
In 0.4551 0.7500 0.0449  6 Cl 3.31-3.52
In 0.2500 0.9551 0.5449  6 Cl 3.31-3.52
In 0.9551 0.5449 0.2500  6 Cl 3.31-3.52
In 0.0449 0.4551 0.7500  6 Cl 3.31-3.52
In 0.7500 0.0449 0.4551  6 Cl 3.31-3.52
In 0.5449 0.2500 0.9551  6 Cl 3.31-3.52
Cl 0.7229 0.9307 0.0755  1 Tm 2.52
Cl 0.0693 0.9245 0.2771  1 Tm 2.52
Cl 0.2500 0.4015 0.0985  2 Tm 2.72
Cl 0.5693 0.7771 0.4245  1 Tm 2.52
Cl 0.5985 0.9015 0.7500  2 Tm 2.72
Cl 0.9015 0.7500 0.5985  2 Tm 2.72
Cl 0.2229 0.5755 0.4307  1 Tm 2.52
Cl 0.5755 0.4307 0.2229  1 Tm 2.52
Cl 0.9245 0.2771 0.0693  1 Tm 2.52
Cl 0.0755 0.7229 0.9307  1 Tm 2.52
Cl 0.4245 0.5693 0.7771  1 Tm 2.52
Cl 0.4015 0.0985 0.2500  2 Tm 2.72
Cl 0.7771 0.4245 0.5693  1 Tm 2.52
Cl 0.0985 0.2500 0.4015  2 Tm 2.72
Cl 0.4307 0.2229 0.5755  1 Tm 2.52
Cl 0.7500 0.5985 0.9015  2 Tm 2.72
Cl 0.9307 0.0755 0.7229  1 Tm 2.52
Cl 0.2771 0.0693 0.9245  1 Tm 2.52

Properties
- Volume: 31.74 A^3/atom
- M_tot: 0.000 μB/f.u.
- SG: R-3c
- Crystal system: trigonal

---

(4)
Material: TmIn2Cl5
Method: DFT, GGA-PBE
State: optimized geometry

Unit cell a=8.7299 b=8.3537 c=12.6831 alpha=90.00 beta=90.00 gamma=90.00
With the nearest neighbours (Å) after each atom.
Fractional coordinates of all 32 atoms:
Tm 0.4258 0.2500 0.5064  7 Cl 2.62-2.76
Tm 0.5742 0.7500 0.4936  7 Cl 2.62-2.76
Tm 0.9258 0.7500 0.9936  7 Cl 2.62-2.76
Tm 0.0742 0.2500 0.0064  7 Cl 2.62-2.76
In 0.3900 0.5165 0.8335  6 Cl 3.10-3.43
In 0.6100 0.4835 0.1665  6 Cl 3.10-3.43
In 0.8900 0.4835 0.6665  6 Cl 3.10-3.43
In 0.6100 0.0165 0.1665  6 Cl 3.10-3.43
In 0.1100 0.5165 0.3335  6 Cl 3.10-3.43
In 0.3900 0.9835 0.8335  6 Cl 3.10-3.43
In 0.1100 0.9835 0.3335  6 Cl 3.10-3.43
In 0.8900 0.0165 0.6665  6 Cl 3.10-3.43
Cl 0.1102 0.2500 0.5040  1 Tm 2.76
Cl 0.8898 0.7500 0.4960  1 Tm 2.76
Cl 0.6102 0.7500 0.9960  1 Tm 2.76
Cl 0.3898 0.2500 0.0040  1 Tm 2.76
Cl 0.3381 0.9477 0.5511  2 Tm 2.70-2.74
Cl 0.6619 0.0523 0.4489  2 Tm 2.70-2.74
Cl 0.8381 0.0523 0.9489  2 Tm 2.70-2.74
Cl 0.6619 0.4477 0.4489  2 Tm 2.70-2.74
Cl 0.1619 0.9477 0.0511  2 Tm 2.70-2.74
Cl 0.3381 0.5523 0.5511  2 Tm 2.70-2.74
Cl 0.1619 0.5523 0.0511  2 Tm 2.70-2.74
Cl 0.8381 0.4477 0.9489  2 Tm 2.70-2.74
Cl 0.1346 0.2500 0.8037  1 Tm 2.62
Cl 0.8654 0.7500 0.1963  1 Tm 2.62
Cl 0.6346 0.7500 0.6963  1 Tm 2.62
Cl 0.3654 0.2500 0.3037  1 Tm 2.62
Cl 0.5461 0.2500 0.6972  1 Tm 2.64
Cl 0.4539 0.7500 0.3028  1 Tm 2.64
Cl 0.0461 0.7500 0.8028  1 Tm 2.64
Cl 0.9539 0.2500 0.1972  1 Tm 2.64

Properties
- Volume: 28.90 A^3/atom
- M_tot: 0.000 μB/f.u.
- SG: Pnma
- Crystal system: orthorhombic

---

(5)
Material: TmIn2Cl8
Method: DFT, GGA-PBE
State: optimized geometry

Unit cell a=6.7690 b=9.1899 c=9.1899 alpha=45.24 beta=94.37 gamma=94.37
With the nearest neighbours (Å) after each atom.
Fractional coordinates of all 11 atoms:
Tm 0.0000 0.0000 0.0000  6 Cl 2.61-2.64
In 0.4535 0.1500 0.1500  4 Cl 2.40-2.58
In 0.5465 0.8500 0.8500  4 Cl 2.40-2.58
Cl 0.7478 0.1814 0.6895  1 In 2.58, 1 Tm 2.61
Cl 0.2522 0.3105 0.8186  1 In 2.58, 1 Tm 2.61
Cl 0.8248 0.1334 0.1334  1 In 2.55, 1 Tm 2.64
Cl 0.1752 0.8666 0.8666  1 In 2.55, 1 Tm 2.64
Cl 0.7478 0.6895 0.1814  1 In 2.58, 1 Tm 2.61
Cl 0.2522 0.8186 0.3105  1 In 2.58, 1 Tm 2.61
Cl 0.3880 0.2868 0.2868  1 In 2.40
Cl 0.6120 0.7132 0.7132  1 In 2.40

Properties
- Volume: 36.77 A^3/atom
- M_tot: 0.000 μB/f.u.
- SG: C2/m
- Crystal system: monoclinic

---

(6)
Material: TmIn2Cl6
Method: DFT, GGA-PBE
State: optimized geometry

Unit cell a=7.1709 b=7.3658 c=11.4649 alpha=90.00 beta=91.41 gamma=90.00
With the nearest neighbours (Å) after each atom.
Fractional coordinates of all 18 atoms:
Tm 0.5000 0.5000 0.0000  6 Cl 2.61-2.64
Tm 0.0000 0.0000 0.5000  6 Cl 2.61-2.64
In 0.9921 0.4741 0.8045  6 Cl 2.88-3.03
In 0.5079 0.9741 0.6955  6 Cl 2.88-3.03
In 0.4921 0.0259 0.3045  6 Cl 2.88-3.03
In 0.0079 0.5259 0.1955  6 Cl 2.88-3.03
Cl 0.8369 0.8260 0.3236  1 Tm 2.64, 2 In 2.88-2.94
Cl 0.8471 0.7733 0.6471  1 Tm 2.63, 1 In 2.91
Cl 0.8039 0.6926 0.9874  1 Tm 2.61
Cl 0.6961 0.1926 0.5126  1 Tm 2.61
Cl 0.6529 0.2733 0.8529  1 Tm 2.63, 1 In 2.91
Cl 0.6631 0.3260 0.1764  1 Tm 2.64, 2 In 2.88-2.94
Cl 0.1631 0.1740 0.6764  1 Tm 2.64, 2 In 2.88-2.94
Cl 0.1529 0.2267 0.3529  1 Tm 2.63, 1 In 2.91
Cl 0.1961 0.3074 0.0126  1 Tm 2.61
Cl 0.3039 0.8074 0.4874  1 Tm 2.61
Cl 0.3471 0.7267 0.1471  1 Tm 2.63, 1 In 2.91
Cl 0.3369 0.6740 0.8236  1 Tm 2.64, 2 In 2.88-2.94

Properties
- Volume: 33.63 A^3/atom
- M_tot: 0.000 μB/f.u.
- SG: P2_1/c
- Crystal system: monoclinic

---

(7)
Material: Tm2In5Cl12
Method: DFT, GGA-PBE
State: optimized geometry

Unit cell a=8.1817 b=9.2091 c=9.2091 alpha=64.78 beta=67.59 gamma=67.59
With the nearest neighbours (Å) after each atom.
Fractional coordinates of all 19 atoms:
Tm 0.0000 0.7617 0.2383  6 Cl 2.66-2.83
Tm 0.0000 0.2383 0.7617  6 Cl 2.66-2.83
In 0.9206 0.2559 0.2559  4 Cl 2.96-3.15, 1 In 3.27
In 0.4732 0.3491 0.3491  3 Cl 2.68-2.76
In 0.5000 0.0000 0.0000  6 Cl 3.09-3.34
In 0.5268 0.6509 0.6509  3 Cl 2.68-2.76
In 0.0794 0.7441 0.7441  4 Cl 2.96-3.15, 1 In 3.27
Cl 0.1966 0.9113 0.9113  2 Tm 2.83, 1 In 3.15, 1 Cl 3.15
Cl 0.2609 0.1376 0.5160  1 Tm 2.67, 1 In 2.68
Cl 0.2609 0.5160 0.1376  1 Tm 2.67, 1 In 2.68
Cl 0.8299 0.0827 0.7015  1 Tm 2.66, 1 In 2.96
Cl 0.8299 0.7015 0.0827  1 Tm 2.66, 1 In 2.96
Cl 0.8286 0.4727 0.4727  1 In 2.76, 2 Tm 3.06
Cl 0.1714 0.5273 0.5273  1 In 2.76, 2 Tm 3.06
Cl 0.1701 0.9173 0.2985  1 Tm 2.66, 1 In 2.96
Cl 0.1701 0.2985 0.9173  1 Tm 2.66, 1 In 2.96
Cl 0.7391 0.8624 0.4840  1 Tm 2.67, 1 In 2.68
Cl 0.7391 0.4840 0.8624  1 Tm 2.67, 1 In 2.68
Cl 0.8034 0.0887 0.0887  2 Tm 2.83, 1 In 3.15, 1 Cl 3.15

Properties
- Volume: 29.48 A^3/atom
- M_tot: 0.000 μB/f.u.
- SG: C2/m
- Crystal system: monoclinic

---

(8)
Material: TmIn3Cl6
Method: DFT, GGA-PBE
State: optimized geometry

Unit cell a=7.2519 b=8.3555 c=10.8122 alpha=90.00 beta=86.58 gamma=90.00
With the nearest neighbours (Å) after each atom.
Fractional coordinates of all 20 atoms:
Tm 0.5000 0.5000 0.5000  6 Cl 2.62
Tm 0.0000 0.0000 0.0000  6 Cl 2.62
In 0.5258 0.9277 0.7730  6 Cl 3.13-3.46
In 0.5000 0.5000 0.0000  6 Cl 3.19-3.27
In 0.4742 0.0723 0.2270  6 Cl 3.13-3.46
In 0.0258 0.5723 0.2730  6 Cl 3.13-3.46
In 0.0000 0.0000 0.5000  6 Cl 3.19-3.27
In 0.9742 0.4277 0.7270  6 Cl 3.13-3.46
Cl 0.6949 0.1593 0.9679  1 Tm 2.62
Cl 0.6601 0.2430 0.5811  1 Tm 2.62
Cl 0.6258 0.4304 0.2741  1 Tm 2.62
Cl 0.3742 0.5696 0.7259  1 Tm 2.62
Cl 0.3399 0.7570 0.4189  1 Tm 2.62
Cl 0.3051 0.8407 0.0321  1 Tm 2.62
Cl 0.1949 0.3407 0.4679  1 Tm 2.62
Cl 0.1601 0.2570 0.0811  1 Tm 2.62
Cl 0.1258 0.0696 0.7741  1 Tm 2.62
Cl 0.8742 0.9304 0.2259  1 Tm 2.62
Cl 0.8399 0.7430 0.9189  1 Tm 2.62
Cl 0.8051 0.6593 0.5321  1 Tm 2.62

Properties
- Volume: 32.70 A^3/atom
- M_tot: 0.000 μB/f.u.
- SG: P2_1/c
- Crystal system: monoclinic

---

Going through the records in order, we get DFT total energy values of -3.033, -2.933, -4.050, -3.957, -3.602, -3.790, -3.732, -3.799 eV per atom.
Going through the records in order, we get DOS at the Fermi energy values of 0.00, 0.00, 0.00, 0.00, 5.44, 8.65, 8.66, 0.00 states/eV/cell.
Going through the records in order, we get raw formation energy values of -1.093, -1.060, -1.637, -1.560, -1.355, -1.453, -1.374, -1.422 eV/atom.